An optimized crystal structure of Hf2ZrZnRu. Source: Alexandria via LeMat-Bulk, functional PBE.

Calculated values
ΔE_f: 0.4036 eV/atom

a b c (Å): 4.9534 4.9534 4.9997
angles (deg): 90.00 90.00 90.00
Space group P4/mmm (No. 123)
Unique sites:
Hf 0.0000 0.5000 0.0000
Zr 0.0000 0.0000 0.5000
Zn 0.5000 0.5000 0.5000
Ru 0.0000 0.0000 0.0000